1.
{"formula": "Pr2DyErTm5", "functional": "GGA-PBE", "state": "relaxed", "cell": [[-4.2825, 4.2825, 7.8116], [4.2825, -4.2825, 7.8116], [4.2825, 4.2825, -7.8116]], "species": ["Pr", "Pr", "Pr", "Pr", "Dy", "Dy", "Er", "Er", "Tm", "Tm", "Tm", "Tm", "Tm", "Tm", "Tm", "Tm", "Tm", "Tm"], "fractional_positions": [[0.1183, 0.6183, 0.7365], [0.3817, 0.1183, 0.5000], [0.6183, 0.8817, 0.5000], [0.8817, 0.3817, 0.2635], [0.2500, 0.2500, 0.0000], [0.7500, 0.7500, 0.0000], [0.2500, 0.7500, 0.5000], [0.7500, 0.2500, 0.5000], [0.0000, 0.0000, 0.0000], [0.0725, 0.1443, 0.5000], [0.1443, 0.6443, 0.0719], [0.3557, 0.4275, 0.5000], [0.4275, 0.9275, 0.0719], [0.5000, 0.5000, 0.0000], [0.5725, 0.0725, 0.9281], [0.6443, 0.5725, 0.5000], [0.8557, 0.3557, 0.9281], [0.9275, 0.8557, 0.5000]], "magnetic_moment_mub_per_cell": 0.0, "sg": "No. 140", "delta_e_f_mev_per_atom": 275, "volume_a3_per_atom": 31.8}

2.
{"formula": "PrDyEr2Tm", "functional": "GGA-PBE", "state": "relaxed", "cell": [[4.1800, -5.7167, 0.0000], [4.1800, 5.7167, 0.0000], [0.0000, 0.0000, 7.1883]], "species": ["Pr", "Pr", "Dy", "Dy", "Er", "Er", "Er", "Er", "Tm", "Tm"], "fractional_positions": [[0.2298, 0.7702, 0.7500], [0.7702, 0.2298, 0.2500], [0.4979, 0.5021, 0.2500], [0.5021, 0.4979, 0.7500], [0.1893, 0.1893, 0.0000], [0.1893, 0.1893, 0.5000], [0.8107, 0.8107, 0.0000], [0.8107, 0.8107, 0.5000], [0.2187, 0.7813, 0.2500], [0.7813, 0.2187, 0.7500]], "magnetic_moment_mub_per_cell": 0.0, "sg": "No. 63", "delta_e_f_mev_per_atom": 382, "volume_a3_per_atom": 34.4}

3.
{"formula": "Pr2DyEr6Tm3", "functional": "GGA-PBE", "state": "relaxed", "cell": [[3.0675, -5.3081, 0.0000], [3.0675, 5.3081, 0.0000], [-2.0410, 0.0000, 11.5309]], "species": ["Pr", "Pr", "Dy", "Er", "Er", "Er", "Er", "Er", "Er", "Tm", "Tm", "Tm"], "fractional_positions": [[0.1667, 0.8333, 0.0000], [0.8333, 0.1667, 0.0000], [0.5000, 0.5000, 0.0000], [0.0822, 0.4147, 0.7454], [0.2530, 0.2530, 0.2547], [0.4147, 0.0822, 0.7454], [0.5853, 0.9178, 0.2546], [0.7470, 0.7470, 0.7453], [0.9178, 0.5853, 0.2546], [0.0000, 0.0000, 0.5000], [0.3336, 0.6664, 0.5000], [0.6664, 0.3336, 0.5000]], "magnetic_moment_mub_per_cell": 0.0, "sg": "No. 12", "delta_e_f_mev_per_atom": 25, "volume_a3_per_atom": 31.3}

4.
{"formula": "Pr2Dy3ErTm6", "functional": "GGA-PBE", "state": "relaxed", "cell": [[3.0687, -5.3112, 0.0000], [3.0687, 5.3112, 0.0000], [-2.0389, 0.0000, 11.5103]], "species": ["Pr", "Pr", "Dy", "Dy", "Dy", "Er", "Tm", "Tm", "Tm", "Tm", "Tm", "Tm"], "fractional_positions": [[0.1665, 0.8335, 0.0000], [0.8335, 0.1665, 0.0000], [0.0000, 0.0000, 0.5000], [0.3334, 0.6666, 0.5000], [0.6666, 0.3334, 0.5000], [0.5000, 0.5000, 0.0000], [0.0829, 0.4154, 0.7472], [0.2524, 0.2524, 0.2532], [0.4154, 0.0829, 0.7472], [0.5846, 0.9171, 0.2528], [0.7476, 0.7476, 0.7468], [0.9171, 0.5846, 0.2528]], "magnetic_moment_mub_per_cell": 0.0, "sg": "No. 12", "delta_e_f_mev_per_atom": 23, "volume_a3_per_atom": 31.3}

5.
{"formula": "PrDy6ErTm2", "functional": "GGA-PBE", "state": "relaxed", "cell": [[4.5642, -7.4744, 0.0000], [4.5642, 7.4744, 0.0000], [-0.9912, 0.0000, 9.3855]], "species": ["Pr", "Pr", "Dy", "Dy", "Dy", "Dy", "Dy", "Dy", "Dy", "Dy", "Dy", "Dy", "Dy", "Dy", "Er", "Er", "Tm", "Tm", "Tm", "Tm"], "fractional_positions": [[0.0292, 0.9708, 0.7500], [0.9708, 0.0292, 0.2500], [0.0135, 0.5605, 0.6822], [0.1214, 0.7545, 0.0566], [0.2455, 0.8786, 0.4434], [0.2920, 0.5134, 0.8835], [0.4395, 0.9865, 0.8178], [0.4866, 0.7080, 0.6165], [0.5134, 0.2920, 0.3835], [0.5605, 0.0135, 0.1822], [0.7080, 0.4866, 0.1165], [0.7545, 0.1214, 0.5566], [0.8786, 0.2455, 0.9434], [0.9865, 0.4395, 0.3178], [0.4104, 0.5896, 0.2500], [0.5896, 0.4104, 0.7500], [0.2016, 0.3061, 0.5489], [0.3061, 0.2016, 0.0489], [0.6939, 0.7984, 0.9511], [0.7984, 0.6939, 0.4511]], "magnetic_moment_mub_per_cell": 0.0, "sg": "No. 15", "delta_e_f_mev_per_atom": 121, "volume_a3_per_atom": 32.0}

6.
{"formula": "Pr6Dy2ErTm3", "functional": "GGA-PBE", "state": "relaxed", "cell": [[3.1403, -5.4382, 0.0000], [3.1403, 5.4382, 0.0000], [-2.0897, 0.0000, 11.6284]], "species": ["Pr", "Pr", "Pr", "Pr", "Pr", "Pr", "Dy", "Dy", "Er", "Tm", "Tm", "Tm"], "fractional_positions": [[0.0839, 0.4170, 0.7512], [0.2493, 0.2493, 0.2485], [0.4170, 0.0839, 0.7512], [0.5830, 0.9161, 0.2488], [0.7507, 0.7507, 0.7515], [0.9161, 0.5830, 0.2488], [0.3334, 0.6666, 0.5000], [0.6666, 0.3334, 0.5000], [0.0000, 0.0000, 0.5000], [0.1667, 0.8333, 0.0000], [0.5000, 0.5000, 0.0000], [0.8333, 0.1667, 0.0000]], "magnetic_moment_mub_per_cell": 0.0, "sg": "No. 12", "delta_e_f_mev_per_atom": 14, "volume_a3_per_atom": 33.1}

7.
{"formula": "Pr2Dy4Er2Tm", "functional": "GGA-PBE", "state": "relaxed", "cell": [[6.0086, 0.0000, 0.0000], [2.8258, 6.0237, 0.0000], [2.9485, 0.3822, 8.0478]], "species": ["Pr", "Pr", "Dy", "Dy", "Dy", "Dy", "Er", "Er", "Tm"], "fractional_positions": [[0.2340, 0.3233, 0.3411], [0.7660, 0.6767, 0.6589], [0.1081, 0.1239, 0.7689], [0.2436, 0.5666, 0.8832], [0.7564, 0.4334, 0.1168], [0.8919, 0.8761, 0.2311], [0.3222, 0.7718, 0.4464], [0.6778, 0.2282, 0.5536], [0.5000, 0.0000, 0.0000]], "magnetic_moment_mub_per_cell": 0.0, "sg": "No. 2", "delta_e_f_mev_per_atom": 90, "volume_a3_per_atom": 32.4}

8.
{"formula": "Pr6DyErTm2", "functional": "GGA-PBE", "state": "relaxed", "cell": [[4.6596, -7.6788, 0.0000], [4.6596, 7.6788, 0.0000], [-1.2385, 0.0000, 9.5676]], "species": ["Pr", "Pr", "Pr", "Pr", "Pr", "Pr", "Pr", "Pr", "Pr", "Pr", "Pr", "Pr", "Dy", "Dy", "Er", "Er", "Tm", "Tm", "Tm", "Tm"], "fractional_positions": [[0.0052, 0.5625, 0.1889], [0.1144, 0.7650, 0.5542], [0.2350, 0.8856, 0.9458], [0.2938, 0.5122, 0.3829], [0.4375, 0.9948, 0.3111], [0.4878, 0.7062, 0.1171], [0.5122, 0.2938, 0.8829], [0.5625, 0.0052, 0.6889], [0.7062, 0.4878, 0.6171], [0.7650, 0.1144, 0.0542], [0.8856, 0.2350, 0.4458], [0.9948, 0.4375, 0.8111], [0.0290, 0.9710, 0.2500], [0.9710, 0.0290, 0.7500], [0.4123, 0.5877, 0.7500], [0.5877, 0.4123, 0.2500], [0.2011, 0.2964, 0.0475], [0.2964, 0.2011, 0.5475], [0.7036, 0.7989, 0.4525], [0.7989, 0.7036, 0.9525]], "magnetic_moment_mub_per_cell": 0.0, "sg": "No. 15", "delta_e_f_mev_per_atom": 116, "volume_a3_per_atom": 34.2}

9.
{"formula": "PrDy5Er2Tm", "functional": "GGA-PBE", "state": "relaxed", "cell": [[2.7877, -9.9049, 0.0000], [2.7877, 9.9049, 0.0000], [0.0000, 0.0000, 10.6367]], "species": ["Pr", "Pr", "Dy", "Dy", "Dy", "Dy", "Dy", "Dy", "Dy", "Dy", "Dy", "Dy", "Er", "Er", "Er", "Er", "Tm", "Tm"], "fractional_positions": [[0.2024, 0.7976, 0.5000], [0.7976, 0.2024, 0.0000], [0.0177, 0.9823, 0.5165], [0.2827, 0.7173, 0.7937], [0.3004, 0.6996, 0.1965], [0.3949, 0.6051, 0.5137], [0.4788, 0.5212, 0.2280], [0.5212, 0.4788, 0.7280], [0.6051, 0.3949, 0.0137], [0.6996, 0.3004, 0.6965], [0.7173, 0.2827, 0.2937], [0.9823, 0.0177, 0.0165], [0.1078, 0.8922, 0.2286], [0.1138, 0.8862, 0.8088], [0.8862, 0.1138, 0.3088], [0.8922, 0.1078, 0.7286], [0.4137, 0.5863, 0.9464], [0.5863, 0.4137, 0.4464]], "magnetic_moment_mub_per_cell": 0.0, "sg": "No. 36", "delta_e_f_mev_per_atom": 156, "volume_a3_per_atom": 32.6}

10.
{"formula": "Pr2DyEr4Tm", "functional": "GGA-PBE", "state": "relaxed", "cell": [[6.8079, -6.6158, 0.0000], [6.8079, 6.6158, 0.0000], [-3.3812, 0.0000, 5.8827]], "species": ["Pr", "Pr", "Pr", "Pr", "Dy", "Dy", "Er", "Er", "Er", "Er", "Er", "Er", "Er", "Er", "Tm", "Tm"], "fractional_positions": [[0.0000, 0.0000, 0.0000], [0.0000, 0.0000, 0.5000], [0.0000, 0.5000, 0.0000], [0.5000, 0.0000, 0.5000], [0.0000, 0.5000, 0.5000], [0.5000, 0.0000, 0.0000], [0.2543, 0.2570, 0.5053], [0.2552, 0.7439, 0.5006], [0.2561, 0.7448, 0.9994], [0.2570, 0.2543, 0.0053], [0.7430, 0.7457, 0.9947], [0.7439, 0.2552, 0.0006], [0.7448, 0.2561, 0.4994], [0.7457, 0.7430, 0.4947], [0.5000, 0.5000, 0.0000], [0.5000, 0.5000, 0.5000]], "magnetic_moment_mub_per_cell": 3.3, "sg": "No. 15", "delta_e_f_mev_per_atom": 426, "volume_a3_per_atom": 33.1}

11.
{"formula": "PrDy6Er2Tm3", "functional": "GGA-PBE", "state": "relaxed", "cell": [[3.0623, -5.2987, 0.0000], [3.0623, 5.2987, 0.0000], [-2.0319, 0.0000, 11.5423]], "species": ["Pr", "Dy", "Dy", "Dy", "Dy", "Dy", "Dy", "Er", "Er", "Tm", "Tm", "Tm"], "fractional_positions": [[0.0000, 0.0000, 0.0000], [0.0848, 0.4190, 0.2528], [0.2495, 0.2495, 0.7473], [0.4190, 0.0848, 0.2528], [0.5810, 0.9152, 0.7472], [0.7505, 0.7505, 0.2527], [0.9152, 0.5810, 0.7472], [0.3334, 0.6666, 0.0000], [0.6666, 0.3334, 0.0000], [0.1670, 0.8330, 0.5000], [0.5000, 0.5000, 0.5000], [0.8330, 0.1670, 0.5000]], "magnetic_moment_mub_per_cell": 0.0, "sg": "No. 12", "delta_e_f_mev_per_atom": 21, "volume_a3_per_atom": 31.2}

12.
{"formula": "PrDyEr2Tm2", "functional": "GGA-PBE", "state": "relaxed", "cell": [[6.5005, 0.0000, 0.0000], [0.0000, 17.6852, 0.0000], [0.0000, 0.0000, 3.3866]], "species": ["Pr", "Pr", "Dy", "Dy", "Er", "Er", "Er", "Er", "Tm", "Tm", "Tm", "Tm"], "fractional_positions": [[0.0000, 0.0000, 0.0000], [0.5000, 0.5000, 0.5000], [0.0000, 0.5000, 0.0000], [0.5000, 0.0000, 0.5000], [0.2217, 0.1866, 0.0000], [0.2783, 0.6866, 0.5000], [0.7217, 0.3134, 0.5000], [0.7783, 0.8134, 0.0000], [0.2189, 0.3512, 0.5000], [0.2811, 0.8512, 0.0000], [0.7189, 0.1488, 0.0000], [0.7811, 0.6488, 0.5000]], "magnetic_moment_mub_per_cell": 0.0, "sg": "No. 58", "delta_e_f_mev_per_atom": 285, "volume_a3_per_atom": 32.4}

13.
{"formula": "Pr2DyYEr5", "functional": "GGA-PBE", "state": "relaxed", "cell": [[-4.3030, 4.3030, 7.8451], [4.3030, -4.3030, 7.8451], [4.3030, 4.3030, -7.8451]], "species": ["Pr", "Pr", "Pr", "Pr", "Dy", "Dy", "Y", "Y", "Er", "Er", "Er", "Er", "Er", "Er", "Er", "Er", "Er", "Er"], "fractional_positions": [[0.1185, 0.6185, 0.7369], [0.3815, 0.1185, 0.5000], [0.6185, 0.8815, 0.5000], [0.8815, 0.3815, 0.2631], [0.2500, 0.7500, 0.5000], [0.7500, 0.2500, 0.5000], [0.2500, 0.2500, 0.0000], [0.7500, 0.7500, 0.0000], [0.0000, 0.0000, 0.0000], [0.0720, 0.1461, 0.5000], [0.1461, 0.6461, 0.0741], [0.3539, 0.4280, 0.5000], [0.4280, 0.9280, 0.0741], [0.5000, 0.5000, 0.0000], [0.5720, 0.0720, 0.9259], [0.6461, 0.5720, 0.5000], [0.8539, 0.3539, 0.9259], [0.9280, 0.8539, 0.5000]], "magnetic_moment_mub_per_cell": 0.0, "sg": "No. 140", "delta_e_f_mev_per_atom": 267, "volume_a3_per_atom": 32.3}

14.
{"formula": "Pr2DyY2Er2", "functional": "GGA-PBE", "state": "relaxed", "cell": [[17.7595, 0.0000, 0.0000], [0.0000, 3.5032, 0.0000], [-3.8727, 0.0000, 7.5910]], "species": ["Pr", "Pr", "Pr", "Pr", "Dy", "Dy", "Y", "Y", "Y", "Y", "Er", "Er", "Er", "Er"], "fractional_positions": [[0.1481, 0.0000, 0.3866], [0.3519, 0.5000, 0.6134], [0.6481, 0.5000, 0.3866], [0.8519, 0.0000, 0.6134], [0.0000, 0.5000, 0.5000], [0.5000, 0.0000, 0.5000], [0.0702, 0.0000, 0.9038], [0.4298, 0.5000, 0.0962], [0.5702, 0.5000, 0.9038], [0.9298, 0.0000, 0.0962], [0.2115, 0.5000, 0.8005], [0.2885, 0.0000, 0.1995], [0.7115, 0.0000, 0.8005], [0.7885, 0.5000, 0.1995]], "magnetic_moment_mub_per_cell": 0.0, "sg": "No. 12", "delta_e_f_mev_per_atom": 147, "volume_a3_per_atom": 33.7}

15.
{"formula": "Pr2Dy6Y3Er", "functional": "GGA-PBE", "state": "relaxed", "cell": [[3.0974, -5.3611, 0.0000], [3.0974, 5.3611, 0.0000], [-2.0549, 0.0000, 11.6747]], "species": ["Pr", "Pr", "Dy", "Dy", "Dy", "Dy", "Dy", "Dy", "Y", "Y", "Y", "Er"], "fractional_positions": [[0.1666, 0.8334, 0.0000], [0.8334, 0.1666, 0.0000], [0.0833, 0.4155, 0.7481], [0.2525, 0.2525, 0.2521], [0.4155, 0.0833, 0.7481], [0.5845, 0.9167, 0.2519], [0.7475, 0.7475, 0.7479], [0.9167, 0.5845, 0.2519], [0.0000, 0.0000, 0.5000], [0.3337, 0.6663, 0.5000], [0.6663, 0.3337, 0.5000], [0.5000, 0.5000, 0.0000]], "magnetic_moment_mub_per_cell": 0.0, "sg": "No. 12", "delta_e_f_mev_per_atom": 19, "volume_a3_per_atom": 32.3}

16.
{"formula": "PrDy5Y2Er", "functional": "GGA-PBE", "state": "relaxed", "cell": [[2.8170, -9.9038, 0.0000], [2.8170, 9.9038, 0.0000], [0.0000, 0.0000, 10.5728]], "species": ["Pr", "Pr", "Dy", "Dy", "Dy", "Dy", "Dy", "Dy", "Dy", "Dy", "Dy", "Dy", "Y", "Y", "Y", "Y", "Er", "Er"], "fractional_positions": [[0.0837, 0.9163, 0.5000], [0.9163, 0.0837, 0.0000], [0.0207, 0.9793, 0.7839], [0.1128, 0.8872, 0.0682], [0.2021, 0.7979, 0.7546], [0.2182, 0.7818, 0.3590], [0.4810, 0.5190, 0.0705], [0.5190, 0.4810, 0.5705], [0.7818, 0.2182, 0.8590], [0.7979, 0.2021, 0.2546], [0.8872, 0.1128, 0.5682], [0.9793, 0.0207, 0.2839], [0.3864, 0.6136, 0.3657], [0.3886, 0.6114, 0.7797], [0.6114, 0.3886, 0.2797], [0.6136, 0.3864, 0.8657], [0.2992, 0.7008, 0.0580], [0.7008, 0.2992, 0.5580]], "magnetic_moment_mub_per_cell": 0.0, "sg": "No. 36", "delta_e_f_mev_per_atom": 158, "volume_a3_per_atom": 32.8}

17.
{"formula": "Pr6DyY3Er2", "functional": "GGA-PBE", "state": "relaxed", "cell": [[3.1557, -5.4648, 0.0000], [3.1557, 5.4648, 0.0000], [-2.1008, 0.0000, 11.7013]], "species": ["Pr", "Pr", "Pr", "Pr", "Pr", "Pr", "Dy", "Y", "Y", "Y", "Er", "Er"], "fractional_positions": [[0.0833, 0.4168, 0.7517], [0.2496, 0.2496, 0.2483], [0.4168, 0.0833, 0.7517], [0.5832, 0.9167, 0.2483], [0.7504, 0.7504, 0.7517], [0.9167, 0.5832, 0.2483], [0.5000, 0.5000, 0.0000], [0.0000, 0.0000, 0.5000], [0.3333, 0.6667, 0.5000], [0.6667, 0.3333, 0.5000], [0.1666, 0.8334, 0.0000], [0.8334, 0.1666, 0.0000]], "magnetic_moment_mub_per_cell": 0.0, "sg": "No. 12", "delta_e_f_mev_per_atom": 10, "volume_a3_per_atom": 33.6}

18.
{"formula": "PrDyY2Er", "functional": "GGA-PBE", "state": "relaxed", "cell": [[4.2200, -5.7524, 0.0000], [4.2200, 5.7524, 0.0000], [0.0000, 0.0000, 7.2366]], "species": ["Pr", "Pr", "Dy", "Dy", "Y", "Y", "Y", "Y", "Er", "Er"], "fractional_positions": [[0.2296, 0.7704, 0.7500], [0.7704, 0.2296, 0.2500], [0.4977, 0.5023, 0.7500], [0.5023, 0.4977, 0.2500], [0.1904, 0.1904, 0.0000], [0.1904, 0.1904, 0.5000], [0.8096, 0.8096, 0.0000], [0.8096, 0.8096, 0.5000], [0.2242, 0.7758, 0.2500], [0.7758, 0.2242, 0.7500]], "magnetic_moment_mub_per_cell": 0.0, "sg": "No. 63", "delta_e_f_mev_per_atom": 383, "volume_a3_per_atom": 35.1}

19.
{"formula": "Pr2Dy3Y6Er", "functional": "GGA-PBE", "state": "relaxed", "cell": [[3.1043, -5.3729, 0.0000], [3.1043, 5.3729, 0.0000], [-2.0591, 0.0000, 11.6817]], "species": ["Pr", "Pr", "Dy", "Dy", "Dy", "Y", "Y", "Y", "Y", "Y", "Y", "Er"], "fractional_positions": [[0.1665, 0.8335, 0.0000], [0.8335, 0.1665, 0.0000], [0.0000, 0.0000, 0.5000], [0.3335, 0.6665, 0.5000], [0.6665, 0.3335, 0.5000], [0.0834, 0.4157, 0.7475], [0.2522, 0.2522, 0.2529], [0.4157, 0.0834, 0.7475], [0.5843, 0.9166, 0.2525], [0.7478, 0.7478, 0.7471], [0.9166, 0.5843, 0.2525], [0.5000, 0.5000, 0.0000]], "magnetic_moment_mub_per_cell": 0.0, "sg": "No. 12", "delta_e_f_mev_per_atom": 19, "volume_a3_per_atom": 32.5}